No. 1
Crystalline NiGeMoPd at its relaxed geometry. Source: the Open Quantum Materials Database, functional PBE.

a b c (Å): 6.1085 6.1085 6.1085
angles (deg): 90.00 90.00 90.00
With the nearest neighbours (Å) after each atom.
Space group F-43m (No. 216)
Symmetry-distinct sites (fractional):
Ni  0.0000  0.0000  0.0000 x4  4 Pd 2.65, 4 Ge 2.65
Ge  0.2500  0.2500  0.7500 x4  4 Mo 2.65, 4 Ni 2.65
Mo  0.0000  0.0000  0.5000 x4  4 Ge 2.65, 4 Pd 2.65
Pd  0.2500  0.2500  0.2500 x4  4 Mo 2.65, 4 Ni 2.65

Values from the calculation:
Energy above the lowest structure with this stoichiometry, eV per atom: 0.000

=====

No. 2
Crystalline ReNiGeMo at its relaxed geometry. Source: the Open Quantum Materials Database, functional PBE.

a b c (Å): 6.0894 6.0894 6.0894
angles (deg): 90.00 90.00 90.00
With the nearest neighbours (Å) after each atom.
Space group F-43m (No. 216)
Symmetry-distinct sites (fractional):
Re  0.0000  0.0000  0.0000 x4  4 Mo 2.64, 4 Ni 2.64
Ni  0.2500  0.2500  0.7500 x4  4 Ge 2.64, 4 Re 2.64
Ge  0.0000  0.0000  0.5000 x4  4 Mo 2.64, 4 Ni 2.64
Mo  0.2500  0.2500  0.2500 x4  4 Re 2.64, 4 Ge 2.64

=====

| no. | size of the total moment (μB/f.u.) | energy (eV/atom) |
| --- | --- | --- |
| 1 | 0.404 | -6.56 |
| 2 | 0.331 | -8.16 |